[1]
Crystalline AlP at its relaxed geometry, computed with PBE-GGA.

abc: 5.9100 5.9100 5.9100
angles: 145.52 145.52 49.56
Element x y z (fractional)
1 P 0.7500 0.2500 0.5000
2 P 0.5000 0.5000 0.0000
3 Al 0.0000 0.0000 0.0000
4 Al 0.2500 0.7500 0.5000

Computed properties:
Energy relative to the elements: 59 meV per atom
Density: 2.92 g cm⁻³
Crystal system: tetragonal
Spin magnetization: 0.00 μB per formula unit
V: 65.8 Å³ per cell



[2]
Crystalline AlP at its relaxed geometry, computed with PBE-GGA.

abc: 10.2121 10.3686 7.9373
angles: 90.00 90.00 90.00
Element x y z (fractional)
1 P 0.3164 0.0000 0.5000
2 Al 0.0000 0.3550 0.5000
3 P 0.4336 0.7500 0.2500
4 P 0.1836 0.5000 0.5000
5 Al 0.2500 0.6050 0.2500
6 Al 0.2500 0.1050 0.7500
7 Al 0.0000 0.8550 0.0000
8 P 0.8164 0.5000 0.5000
9 P 0.4336 0.2500 0.7500
10 P 0.9336 0.2500 0.2500
11 Al 0.5000 0.1450 0.5000
12 P 0.5664 0.2500 0.2500
13 Al 0.2500 0.8950 0.2500
14 Al 0.0000 0.6450 0.5000
15 Al 0.7500 0.3950 0.2500
16 Al 0.5000 0.3550 0.0000
17 P 0.0664 0.7500 0.2500
18 Al 0.2500 0.3950 0.7500
19 P 0.6836 0.5000 0.0000
20 Al 0.0000 0.1450 0.0000
21 P 0.1836 0.0000 0.0000
22 P 0.3164 0.5000 0.0000
23 P 0.9336 0.7500 0.7500
24 Al 0.7500 0.8950 0.7500
25 Al 0.7500 0.6050 0.7500
26 Al 0.7500 0.1050 0.2500
27 Al 0.5000 0.6450 0.0000
28 Al 0.5000 0.8550 0.5000
29 P 0.8164 0.0000 0.0000
30 P 0.0664 0.2500 0.7500
31 P 0.6836 0.0000 0.5000
32 P 0.5664 0.7500 0.7500

Computed properties:
Energy relative to the elements: -383 meV per atom
Density: 1.83 g cm⁻³
Crystal system: orthorhombic
Spin magnetization: 0.00 μB per formula unit
V: 840.4 Å³ per cell



[3]
Crystalline AlP at its relaxed geometry, computed with PBE-GGA.

abc: 4.4784 4.4784 4.4784
angles: 60.00 60.00 60.00
Element x y z (fractional)
1 P 0.5000 0.5000 0.5000
2 P 0.7500 0.7500 0.7500
3 Al 0.0000 0.0000 0.0000
4 Al 0.2500 0.2500 0.2500

Computed properties:
Energy relative to the elements: 375 meV per atom
Density: 3.03 g cm⁻³
Crystal system: cubic
Spin magnetization: 0.00 μB per formula unit
V: 63.5 Å³ per cell



[4]
Crystalline AlP at its relaxed geometry, computed with PBE-GGA.

abc: 10.0642 10.0642 3.8745
angles: 90.00 90.00 90.00
Element x y z (fractional)
1 Al 0.2086 0.3714 0.0000
2 Al 0.8714 0.2914 0.5000
3 Al 0.7914 0.6286 0.0000
4 P 0.7798 0.3944 0.0000
5 P 0.2202 0.6056 0.0000
6 P 0.3944 0.2202 0.0000
7 P 0.2798 0.8944 0.5000
8 Al 0.1286 0.7086 0.5000
9 P 0.6056 0.7798 0.0000
10 P 0.7202 0.1056 0.5000
11 Al 0.7086 0.8714 0.5000
12 P 0.8944 0.7202 0.5000
13 Al 0.3714 0.7914 0.0000
14 Al 0.6286 0.2086 0.0000
15 Al 0.2914 0.1286 0.5000
16 P 0.1056 0.2798 0.5000

Computed properties:
Energy relative to the elements: -452 meV per atom
Density: 1.96 g cm⁻³
Crystal system: tetragonal
Spin magnetization: 0.00 μB per formula unit
V: 392.4 Å³ per cell



[5]
Crystalline Al3P at its relaxed geometry, computed with PBE-GGA.

abc: 4.2512 4.2512 3.5635
angles: 90.00 90.00 90.00
Element x y z (fractional)
1 Al 0.5000 0.5000 0.0000
2 Al 0.0000 0.0000 0.0000
3 P 0.0000 0.5000 0.5000
4 Al 0.5000 0.0000 0.5000

Computed properties:
Energy relative to the elements: 111 meV per atom
Density: 2.89 g cm⁻³
Crystal system: tetragonal
Spin magnetization: 0.00 μB per formula unit
Energy above the most stable polymorph in this dataset: 171 meV/atom
V: 64.4 Å³ per cell



[6]
Crystalline AlP at its relaxed geometry, computed with PBE-GGA.

abc: 9.4766 9.4766 9.4766
angles: 23.91 23.91 23.91
Element x y z (fractional)
1 Al 0.9332 0.9332 0.9332
2 P 0.5902 0.5902 0.5902
3 Al 0.0668 0.0668 0.0668
4 P 0.4098 0.4098 0.4098

Computed properties:
Energy relative to the elements: -91 meV per atom
Density: 1.57 g cm⁻³
Crystal system: trigonal
Spin magnetization: 0.00 μB per formula unit
V: 122.8 Å³ per cell



[7]
Crystalline Al5P at its relaxed geometry, computed with PBE-GGA.

abc: 7.5378 7.5378 4.5075
angles: 90.00 90.00 157.22
Element x y z (fractional)
1 Al 0.7727 0.2273 0.5000
2 Al 0.6570 0.3430 0.0000
3 Al 0.9992 0.0008 0.0000
4 Al 0.3265 0.6735 0.0000
5 P 0.1339 0.8661 0.5000
6 Al 0.4441 0.5559 0.5000

Computed properties:
Energy relative to the elements: 73 meV per atom
Density: 2.78 g cm⁻³
Crystal system: orthorhombic
Spin magnetization: 0.00 μB per formula unit
Energy above the most stable polymorph in this dataset: 37 meV/atom
V: 99.2 Å³ per cell



[8]
Crystalline Al5P at its relaxed geometry, computed with PBE-GGA.

abc: 4.9420 4.9420 4.5884
angles: 90.00 90.00 120.00
Element x y z (fractional)
1 P 0.0000 0.0000 0.5000
2 Al 0.6667 0.3333 0.5000
3 Al 0.3267 0.3267 0.0000
4 Al 0.6733 0.0000 0.0000
5 Al 0.3333 0.6667 0.5000
6 Al 0.0000 0.6733 0.0000

Computed properties:
Energy relative to the elements: 78 meV per atom
Density: 2.84 g cm⁻³
Crystal system: hexagonal
Spin magnetization: 0.00 μB per formula unit
Energy above the most stable polymorph in this dataset: 42 meV/atom
V: 97.0 Å³ per cell



[9]
Crystalline AlP3 at its relaxed geometry, computed with PBE-GGA.

abc: 4.6466 4.6466 4.6466
angles: 90.00 90.00 90.00
Element x y z (fractional)
1 P 0.5000 0.0000 0.0000
2 P 0.0000 0.5000 0.0000
3 P 0.0000 0.0000 0.5000
4 Al 0.0000 0.0000 0.0000

Computed properties:
Energy relative to the elements: 973 meV per atom
Density: 1.98 g cm⁻³
Crystal system: cubic
Spin magnetization: 0.00 μB per formula unit
V: 100.3 Å³ per cell



[10]
Crystalline Al3P at its relaxed geometry, computed with PBE-GGA.

abc: 4.3782 5.6383 6.7551
angles: 90.00 90.00 90.00
Element x y z (fractional)
1 Al 0.0000 0.5000 0.4444
2 P 0.5000 0.5000 0.6046
3 Al 0.0000 0.7382 0.0999
4 Al 0.0000 0.2618 0.0999
5 P 0.0000 0.0000 0.3954
6 Al 0.5000 0.7618 0.9001
7 Al 0.5000 0.0000 0.5556
8 Al 0.5000 0.2382 0.9001

Computed properties:
Energy relative to the elements: 22 meV per atom
Density: 2.23 g cm⁻³
Crystal system: orthorhombic
Spin magnetization: 0.00 μB per formula unit
Energy above the most stable polymorph in this dataset: 81 meV/atom
V: 166.8 Å³ per cell



[11]
Crystalline Al5P at its relaxed geometry, computed with PBE-GGA.

abc: 6.4766 6.4766 3.9846
angles: 90.00 90.00 144.63
Element x y z (fractional)
1 Al 0.6681 0.3319 0.5000
2 Al 0.3319 0.6681 0.5000
3 Al 0.1685 0.8315 0.0000
4 Al 0.8315 0.1685 0.0000
5 P 0.5000 0.5000 0.0000
6 Al 0.0000 0.0000 0.5000

Computed properties:
Energy relative to the elements: 71 meV per atom
Density: 2.85 g cm⁻³
Crystal system: orthorhombic
Spin magnetization: 0.00 μB per formula unit
Energy above the most stable polymorph in this dataset: 36 meV/atom
V: 96.8 Å³ per cell



[12]
Crystalline Al3P at its relaxed geometry, computed with PBE-GGA.

abc: 5.0743 5.0743 5.0743
angles: 90.00 90.00 90.00
Element x y z (fractional)
1 Al 0.5000 0.0000 0.7500
2 P 0.5000 0.5000 0.5000
3 Al 0.2500 0.5000 0.0000
4 Al 0.0000 0.2500 0.5000
5 Al 0.7500 0.5000 0.0000
6 Al 0.0000 0.7500 0.5000
7 Al 0.5000 0.0000 0.2500
8 P 0.0000 0.0000 0.0000

Computed properties:
Energy relative to the elements: 211 meV per atom
Density: 2.84 g cm⁻³
Crystal system: cubic
Spin magnetization: 0.00 μB per formula unit
Energy above the most stable polymorph in this dataset: 270 meV/atom
V: 130.7 Å³ per cell